[1]
Entry from the Alexandria database: FeCoGeRh after structural relaxation (PBE).

Results
SG: No. 216
Calculated formation energy in eV/atom: -0.1774

a b c (Å): 4.1818 4.1818 4.1818
angles (deg): 60.00 60.00 60.00
Each line ends with the local moment (μB).
Fractional coordinates of all 4 atoms:
Rh 0.5000 0.5000 0.5000  0.58
Fe 0.7500 0.7500 0.7500  2.95
Ge 0.2500 0.2500 0.2500  0.01
Co 0.0000 0.0000 0.0000  1.47

=====

[2]
Entry from the Alexandria database: Dy2Y2Er after structural relaxation (PBE).

Results
SG: No. 127
Calculated formation energy in eV/atom: 0.0955

a b c (Å): 9.2489 9.2489 3.7390
angles (deg): 90.00 90.00 90.00
Fractional coordinates of all 10 atoms:
Y 0.8292 0.6708 0.5000
Y 0.3292 0.8292 0.5000
Y 0.1708 0.3292 0.5000
Y 0.6708 0.1708 0.5000
Dy 0.1280 0.6280 0.0000
Dy 0.6280 0.8720 0.0000
Dy 0.3720 0.1280 0.0000
Dy 0.8720 0.3720 0.0000
Er 0.0000 0.0000 0.0000
Er 0.5000 0.5000 0.0000

=====

[3]
Entry from the Alexandria database: YMgCl2 after structural relaxation (PBE).

Results
Raw formation energy in eV/atom: -1.07
Energy relative to the lowest polymorph listed for this composition in eV/atom: 0.188
SG: No. 10

a b c (Å): 4.5872 3.6587 6.0943
angles (deg): 91.17 90.00 90.00
Fractional coordinates of all 4 atoms:
Mg 0.5000 0.2500 0.2500
Cl 0.0000 0.9503 0.9855
Cl 0.0000 0.5497 0.5145
Y 0.5000 0.7500 0.7500

=====

| no. | ρ (Mg/m³) |
| --- | --- |
| 1 | 9.32 |
| 2 | 6.96 |
| 3 | 2.99 |